The following is a DFT calculation (PBE) of an optimized crystal structure of YTc2Ir.

```
4
Lattice="-0.750 -2.684 -0.510 1.096 -1.005 3.673 -5.822 1.233 2.075" Properties=species:S:1:pos:R:3 pbc="T T T"
Ir -4.194 -0.920 3.138
Y -1.283 -1.536 2.100
Tc -3.226 0.683 1.150
Tc -5.507 1.166 1.962
```

Computed properties:
SG: Pmmm
E, eV/atom: -8.8309
Calculated density, g/cm³: 11.2
N(E_F), states/eV per cell: 5.01